Entry 1:
Here is crystalline ScGeMo2Os at its relaxed geometry from Alexandria. Energies are from PBE.

Output
E = -33.090 eV per formula unit
formation energy from the elements = 2150 meV per atom
D(E_F) = 6.6 states/eV/cell
theoretical density = 8.55 g/cm³

Unit cell a=4.531 b=4.531 c=4.728 alpha=90.00 beta=90.00 gamma=90.00
Space group P4/mmm (No. 123)
Unique sites:
1 Sc 0.000 0.000 0.000 [1 per cell]
2 Ge 0.000 0.000 0.500 [1 per cell]
3 Mo 0.000 0.500 0.000 [2 per cell]
4 Os 0.500 0.500 0.500 [1 per cell]



Entry 2:
Here is crystalline Tl3TeRh at its relaxed geometry from Alexandria. Energies are from PBE.

Output
E = -17.908 eV per formula unit
formation energy (no corrections) = -0.0631 eV/atom
energy above the most stable polymorph in this dataset = 0.000 eV/atom
D(E_F) = 2.0 states/eV/cell
theoretical density = 9.36 g/cm³

Unit cell a=5.309 b=5.309 c=5.309 alpha=90.00 beta=90.00 gamma=90.00
Space group Pm-3m (No. 221)
Unique sites:
1 Tl 0.000 0.000 0.500 [3 per cell]
2 Te 0.500 0.500 0.500 [1 per cell]
3 Rh 0.000 0.000 0.000 [1 per cell]



Entry 3:
Here is crystalline Al4Ag3 at its relaxed geometry from Alexandria. Energies are from PBE.

Output
E = -23.550 eV per formula unit
formation energy from the elements = -4 meV per atom
energy above the most stable polymorph in this dataset = 0.042 eV/atom
D(E_F) = 2.0 states/eV/cell
theoretical density = 5.98 g/cm³

Unit cell a=3.917 b=5.271 c=6.350 alpha=101.53 beta=90.36 gamma=110.69
Space group P1 (No. 1)
Unique sites:
1 Al 0.000 0.000 0.000 [1 per cell]
2 Al 0.125 0.251 0.430 [1 per cell]
3 Al 0.284 0.566 0.858 [1 per cell]
4 Al 0.706 0.414 0.152 [1 per cell]
5 Ag 0.412 0.827 0.275 [1 per cell]
6 Ag 0.578 0.156 0.725 [1 per cell]
7 Ag 0.849 0.692 0.582 [1 per cell]



Entry 4:
Here is crystalline SbAsP2 at its relaxed geometry from Alexandria. Energies are from PBE.

Output
E = -17.353 eV per formula unit
formation energy (no corrections) = 0.5597 eV/atom
energy above the most stable polymorph in this dataset = 0.474 eV/atom
D(E_F) = 2.1 states/eV/cell
theoretical density = 5.69 g/cm³

Unit cell a=3.407 b=3.407 c=6.502 alpha=90.00 beta=90.00 gamma=90.00
Space group P4/mmm (No. 123)
Unique sites:
1 Sb 0.000 0.000 0.000 [1 per cell]
2 As 0.000 0.000 0.500 [1 per cell]
3 P 0.500 0.500 0.290 [2 per cell]



Entry 5:
Here is crystalline CaLa9Th2 at its relaxed geometry from Alexandria. Energies are from PBE.

Output
E = -60.604 eV per formula unit
formation energy from the elements = 49 meV per atom
D(E_F) = 20.6 states/eV/cell
theoretical density = 6.76 g/cm³

Unit cell a=5.225 b=5.225 c=15.786 alpha=90.00 beta=90.00 gamma=90.00
Space group P4/mmm (No. 123)
Unique sites:
1 Ca 0.000 0.000 0.000 [1 per cell]
2 La 0.000 0.500 0.177 [4 per cell]
3 La 0.000 0.500 0.500 [2 per cell]
4 La 0.500 0.500 0.000 [1 per cell]
5 La 0.500 0.500 0.336 [2 per cell]
6 Th 0.000 0.000 0.334 [2 per cell]



Entry 6:
Here is crystalline LaTi3Ru at its relaxed geometry from Alexandria. Energies are from PBE.

Output
E = -30.166 eV per formula unit
formation energy from the elements = 1544 meV per atom
energy above the most stable polymorph in this dataset = 1.436 eV/atom
D(E_F) = 8.3 states/eV/cell
theoretical density = 6.18 g/cm³

Unit cell a=4.688 b=4.688 c=4.688 alpha=90.00 beta=90.00 gamma=90.00
Space group Pm-3m (No. 221)
Unique sites:
1 La 0.000 0.000 0.000 [1 per cell]
2 Ti 0.000 0.000 0.500 [3 per cell]
3 Ru 0.500 0.500 0.500 [1 per cell]



Entry 7:
Here is crystalline Ca3Pu2UP6 at its relaxed geometry from Alexandria. Energies are from PBE.

Output
E = -91.654 eV per formula unit
formation energy from the elements = -1103 meV per atom
D(E_F) = 54.5 states/eV/cell
theoretical density = 6.07 g/cm³

Unit cell a=7.040 b=12.192 c=6.986 alpha=90.00 beta=109.63 gamma=90.00
Space group C2/m (No. 12)
Unique sites:
1 Ca 0.000 0.000 0.000 [2 per cell]
2 Ca 0.000 0.332 0.000 [4 per cell]
3 Pu 0.000 0.167 0.500 [4 per cell]
4 U 0.000 0.500 0.500 [2 per cell]
5 P 0.237 0.338 0.725 [8 per cell]
6 P 0.250 0.000 0.724 [4 per cell]



Entry 8:
Here is crystalline ThCuAg2 at its relaxed geometry from Alexandria. Energies are from PBE.

Output
E = -17.683 eV per formula unit
formation energy from the elements = -116 meV per atom
energy above the most stable polymorph in this dataset = 0.000 eV/atom
D(E_F) = 9.0 states/eV/cell
theoretical density = 10.30 g/cm³

Unit cell a=5.376 b=13.142 c=5.347 alpha=90.00 beta=119.17 gamma=90.00
Space group C2/c (No. 15)
Unique sites:
1 Th 0.000 0.139 0.250 [4 per cell]
2 Cu 0.000 0.250 0.750 [4 per cell]
3 Ag 0.175 0.417 0.100 [8 per cell]